[1]
Here is crystalline Cs2AlBrCl6 at its relaxed geometry from Alexandria via LeMat-Bulk. Energies are from PBE.

Output
As for the crystal system: tetragonal. Its uncorrected formation energy is -1.390 eV/atom. The space group is I4/mmm (139). The value obtained for the density of states at the Fermi level is 0.0 states/eV/f.u.

a b c (Å): 8.1263 8.1263 7.6809
angles (deg): 58.06 58.06 90.00
Last column: nearest neighbours and their distance in Å.
Atoms (fractional coordinates):
Cl  0.6965  0.3035  0.0000  1 Al 2.26
Cl  0.3035  0.3035  0.0000  1 Al 2.26
Cl  0.6965  0.6965  0.0000  1 Al 2.26
Cl  0.2362  0.2362  0.5276  1 Br 2.41, 1 Al 2.69
Cl  0.7638  0.7638  0.4724  1 Br 2.41, 1 Al 2.69
Cl  0.3035  0.6965  0.0000  1 Al 2.26
Br  0.0000  0.0000  0.0000  2 Cl 2.41
Cs  0.2500  0.7500  0.5000  12 Cl 3.89-4.07
Cs  0.7500  0.2500  0.5000  12 Cl 3.89-4.07
Al  0.5000  0.5000  0.0000  4 Cl 2.26

[2]
Here is crystalline MnAl2Br6Cl2 at its relaxed geometry from Alexandria via LeMat-Bulk. Energies are from PBE.

Output
As for the crystal system: trigonal. Its uncorrected formation energy is -1.078 eV/atom. The space group is P-3 (147). The value obtained for the density of states at the Fermi level is 0.0 states/eV/f.u.

a b c (Å): 6.7189 6.7189 9.7961
angles (deg): 90.00 90.00 120.00
Last column: nearest neighbours and their distance in Å.
Atoms (fractional coordinates):
Cl  0.3333  0.6667  0.5404  1 Al 2.09
Cl  0.6667  0.3333  0.4596  1 Al 2.09
Br  0.6768  0.6696  0.1632  1 Al 2.37
Br  0.6696  0.9928  0.8368  1 Al 2.37
Br  0.9928  0.3232  0.1632  1 Al 2.37
Br  0.3304  0.0072  0.1632  1 Al 2.37
Br  0.0072  0.6768  0.8368  1 Al 2.37
Br  0.3232  0.3304  0.8368  1 Al 2.37
Al  0.6667  0.3333  0.2460  1 Cl 2.09
Al  0.3333  0.6667  0.7540  1 Cl 2.09
Mn  0.0000  0.0000  0.0000  6 Br 2.72

[3]
Here is crystalline AlBr2NCl at its relaxed geometry from Alexandria via LeMat-Bulk. Energies are from PBE.

Output
As for the crystal system: tetragonal. Its uncorrected formation energy is 0.347 eV/atom. The space group is P4/mmm (123). The value obtained for the density of states at the Fermi level is 0.3 states/eV/f.u.

a b c (Å): 5.0820 4.7029 5.0820
angles (deg): 90.00 90.00 90.00
Last column: nearest neighbours and their distance in Å.
Atoms (fractional coordinates):
Br  0.5000  0.0000  0.0000  2 Al 2.54
Br  0.0000  0.0000  0.5000  2 Al 2.54
Al  0.0000  0.0000  0.0000  2 Cl 2.35, 4 Br 2.54
Cl  0.0000  0.5000  0.0000  2 Al 2.35
N  0.5000  0.5000  0.5000  8 Br 3.46, 4 Cl 3.59